(1)
# K2Tb2HfS6 PBE relaxed
# uncorrected formation energy = -1.82 eV/atom
# E_tot = -132.31 eV/cell
# total magnetic moment = 0.00 μB/f.u.
# theoretical density = 4.22 Mg/m³
data_K2Tb2HfS6
_chemical_formula_sum 'K4 Tb4 Hf2 S12'
_space_group_name_H-M_alt 'C 1 2/m 1'
_space_group_IT_number 12
_cell_length_a 6.8365
_cell_length_b 11.7237
_cell_length_c 7.8816
_cell_angle_alpha 90.00
_cell_angle_beta 107.13
_cell_angle_gamma 90.00
loop_
_space_group_symop_operation_xyz
'x,y,z'
'-x,-y,-z'
'-x,y,-z'
'x,-y,z'
'x+1/2,y+1/2,z'
'-x+1/2,-y+1/2,-z'
'-x+1/2,y+1/2,-z'
'x+1/2,-y+1/2,z'
loop_
_atom_site_label
_atom_site_fract_x
_atom_site_fract_y
_atom_site_fract_z
K1 0.0000 0.1701 0.0000
Tb1 0.0000 0.3335 0.5000
Hf1 0.0000 0.0000 0.5000
S1 0.2230 0.1572 0.6943
S2 0.2450 0.0000 0.3069

=====

(2)
# AcTb2Pm2Y2 PBE relaxed
# energy relative to the elements = 3.6 kJ per mole of atoms
# E_tot = -71.08 eV/cell
# total magnetic moment = 0.00 μB/f.u.
# theoretical density = 6.97 Mg/m³
data_AcTb2Pm2Y2
_chemical_formula_sum 'Ac2 Tb4 Pm4 Y4'
_space_group_name_H-M_alt 'C 1 2/m 1'
_space_group_IT_number 12
_cell_length_a 11.5651
_cell_length_b 5.1702
_cell_length_c 8.1610
_cell_angle_alpha 90.00
_cell_angle_beta 98.45
_cell_angle_gamma 90.00
loop_
_space_group_symop_operation_xyz
'x,y,z'
'-x,-y,-z'
'-x,y,-z'
'x,-y,z'
'x+1/2,y+1/2,z'
'-x+1/2,-y+1/2,-z'
'-x+1/2,y+1/2,-z'
'x+1/2,-y+1/2,z'
loop_
_atom_site_label
_atom_site_fract_x
_atom_site_fract_y
_atom_site_fract_z
Ac1 0.0000 0.0000 0.0000
Tb1 0.0737 0.5000 0.7081
Pm1 0.2153 0.5000 0.1487
Y1 0.1424 0.0000 0.4332

=====

(3)
# Mg2PtCl8 PBE relaxed
# uncorrected formation energy = -1.12 eV/atom
# E_tot = -72.59 eV/cell
# total magnetic moment = 0.00 μB/f.u.
# theoretical density = 2.81 Mg/m³
data_Mg2PtCl8
_chemical_formula_sum 'Mg4 Pt2 Cl16'
_space_group_name_H-M_alt 'C 1 2/m 1'
_space_group_IT_number 12
_cell_length_a 14.6119
_cell_length_b 6.7659
_cell_length_c 6.3039
_cell_angle_alpha 90.00
_cell_angle_beta 93.06
_cell_angle_gamma 90.00
loop_
_space_group_symop_operation_xyz
'x,y,z'
'-x,-y,-z'
'-x,y,-z'
'x,-y,z'
'x+1/2,y+1/2,z'
'-x+1/2,-y+1/2,-z'
'-x+1/2,y+1/2,-z'
'x+1/2,-y+1/2,z'
loop_
_atom_site_label
_atom_site_fract_x
_atom_site_fract_y
_atom_site_fract_z
Mg1 0.1532 0.0000 0.4545
Pt1 0.0000 0.0000 0.0000
Cl1 0.0607 0.2379 0.2422
Cl2 0.1419 0.0000 0.8385
Cl3 0.1924 0.5000 0.5812

=====

(4)
# Cd2NiBr PBE relaxed
# energy above the lowest structure with this stoichiometry = 0.482 eV per atom
# uncorrected formation energy = 0.46 eV/atom
# E_tot = -29.81 eV/cell
# total magnetic moment = 0.36 μB/f.u.
# theoretical density = 7.06 Mg/m³
data_Cd2NiBr
_chemical_formula_sum 'Cd8 Ni4 Br4'
_space_group_name_H-M_alt 'F -4 3 m'
_space_group_IT_number 216
_space_group_name_Hall 'F -4 2 3'
_cell_length_a 6.9935
_cell_length_b 6.9935
_cell_length_c 6.9935
_cell_angle_alpha 90.00
_cell_angle_beta 90.00
_cell_angle_gamma 90.00
loop_
_atom_site_label
_atom_site_fract_x
_atom_site_fract_y
_atom_site_fract_z
Cd1 0.0000 0.0000 0.0000
Cd2 0.2500 0.2500 0.2500
Ni1 0.2500 0.2500 0.7500
Br1 0.0000 0.0000 0.5000